The following is a DFT calculation (GGA-PBE) of an optimized crystal structure of Ac4SnPt.

## Properties
The total energy comes out at -5.002 eV per atom. Its formation energy is -0.589 eV/atom.

a b c (Å): 8.949 8.949 6.954
angles (deg): 105.40 105.40 113.77
Atoms (fractional coordinates):
Ac 0.067 0.699 0.921
Ac 0.211 0.341 0.684
Ac 0.301 0.933 0.579
Ac 0.341 0.211 0.184
Ac 0.659 0.789 0.816
Ac 0.699 0.067 0.421
Ac 0.789 0.659 0.316
Ac 0.933 0.301 0.079
Sn 0.376 0.624 0.250
Sn 0.624 0.376 0.750
Pt 0.006 0.994 0.750
Pt 0.994 0.006 0.250

=====

The following is a DFT calculation (GGA-PBE) of an optimized crystal structure of Ac3Sn3Pt.

## Properties
The total energy comes out at -5.157 eV per atom. Its formation energy is -0.818 eV/atom.

a b c (Å): 6.492 6.492 16.105
angles (deg): 108.97 108.97 43.93
Atoms (fractional coordinates):
Ac 0.030 0.030 0.385
Ac 0.099 0.099 0.921
Ac 0.250 0.250 0.240
Ac 0.750 0.750 0.760
Ac 0.901 0.901 0.079
Ac 0.970 0.970 0.615
Sn 0.347 0.347 0.467
Sn 0.380 0.380 0.923
Sn 0.458 0.458 0.762
Sn 0.542 0.542 0.238
Sn 0.620 0.620 0.077
Sn 0.653 0.653 0.533
Pt 0.244 0.244 0.613
Pt 0.756 0.756 0.387

=====

The following is a DFT calculation (GGA-PBE) of an optimized crystal structure of Ac6Sn5Pt.

## Properties
The total energy comes out at -4.854 eV per atom. Its formation energy is -0.629 eV/atom.

a b c (Å): 7.452 7.452 8.618
angles (deg): 97.82 97.82 109.95
Atoms (fractional coordinates):
Ac 0.050 0.376 0.717
Ac 0.209 0.209 0.209
Ac 0.376 0.050 0.717
Ac 0.624 0.950 0.283
Ac 0.791 0.791 0.791
Ac 0.950 0.624 0.283
Sn 0.221 0.779 0.000
Sn 0.379 0.621 0.500
Sn 0.500 0.500 0.000
Sn 0.621 0.379 0.500
Sn 0.779 0.221 0.000
Pt 0.000 0.000 0.500

=====

The following is a DFT calculation (GGA-PBE) of an optimized crystal structure of AcSn3Pt3.

## Properties
The total energy comes out at -5.488 eV per atom. Its formation energy is -0.596 eV/atom.

a b c (Å): 8.162 8.162 8.162
angles (deg): 58.76 58.76 58.76
Atoms (fractional coordinates):
Ac 0.168 0.168 0.168
Ac 0.832 0.832 0.832
Sn 0.111 0.681 0.389
Sn 0.319 0.611 0.889
Sn 0.389 0.111 0.681
Sn 0.611 0.889 0.319
Sn 0.681 0.389 0.111
Sn 0.889 0.319 0.611
Pt 0.033 0.412 0.775
Pt 0.225 0.967 0.588
Pt 0.412 0.775 0.033
Pt 0.588 0.225 0.967
Pt 0.775 0.033 0.412
Pt 0.967 0.588 0.225